Below is a relaxed structure of SrSi2Mo, with properties calculated at the PBE level.

Total moment: 1.67 μB/f.u.
E_tot: -5.4488 eV per atom

a b c (Å): 6.735 6.735 6.735
angles (deg): 90.00 90.00 90.00
Space group Fm-3m (No. 225)
One atom of each set of equivalent atoms:
Sr1 0.000 0.000 0.000
Si1 0.250 0.250 0.250
Mo1 0.000 0.000 0.500


Below is a relaxed structure of SrSi2Mo, with properties calculated at the PBE level.

Total moment: 0.00 μB/f.u.
E_tot: -5.7085 eV per atom

a b c (Å): 3.379 3.379 7.169
angles (deg): 90.00 90.00 90.00
Space group P4mm (No. 99)
One atom of each set of equivalent atoms:
Sr1 0.000 0.000 0.000
Si1 0.000 0.000 0.467
Si2 0.500 0.500 0.675
Mo1 0.500 0.500 0.345


Formation energy (no corrections) (computed, eV/f.u.): 1.564; 0.525
Polymorph energy (0 for the lowest one) (computed, meV/atom): 595.6; 335.9